[1]
Density functional theory data (PBE) for Y2ScRuF after structural relaxation.

Geometry as POSCAR:
```
Y2ScRuF
1.0
5.760 0.000 0.000
0.000 4.350 0.000
0.000 0.000 5.760
Y Sc Ru F
2 1 1 1
direct
0.500 0.000 0.000 Y
0.000 0.000 0.500 Y
0.000 0.000 0.000 Sc
0.000 0.500 0.000 Ru
0.500 0.500 0.500 F
```

Calculated values
crystal system	tetragonal
Fermi-level density of states	4.4	states/eV/f.u.
magnetization	0.0	μB per cell
total DFT energy (no corrections)	-28.6	eV for the cell shown
energy relative to the elements, uncorrected	0.3675	eV per atom

***

[2]
Density functional theory data (PBE) for RuSe2F after structural relaxation.

Geometry as POSCAR:
```
RuSe2F
1.0
5.933 0.000 0.000
0.000 5.933 0.000
2.967 2.967 5.051
Se F Ru
4 2 2
direct
0.875 0.911 0.750 Se
0.661 0.125 0.250 Se
0.375 0.339 0.750 Se
0.089 0.625 0.250 Se
0.250 0.750 0.500 F
0.500 0.500 0.000 F
0.000 0.000 0.000 Ru
0.750 0.250 0.500 Ru
```

Calculated values
crystal system	tetragonal
Fermi-level density of states	1.9	states/eV/f.u.
magnetization	0.0	μB per cell
total DFT energy (no corrections)	-38.9	eV for the cell shown
energy relative to the elements, uncorrected	-0.3384	eV per atom

***

[3]
Density functional theory data (PBE) for RuSeF3 after structural relaxation.

Geometry as POSCAR:
```
RuSeF3
1.0
4.157 0.000 0.000
0.000 4.157 0.000
0.000 0.000 4.157
F Se Ru
3 1 1
direct
0.000 0.000 0.500 F
0.500 0.000 0.000 F
0.000 0.500 0.000 F
0.500 0.500 0.500 Se
0.000 0.000 0.000 Ru
```

Calculated values
crystal system	cubic
Fermi-level density of states	11.9	states/eV/f.u.
magnetization	0.0	μB per cell
total DFT energy (no corrections)	-20.5	eV for the cell shown
energy relative to the elements, uncorrected	-0.4242	eV per atom

***

[4]
Density functional theory data (PBE) for RuSe2F after structural relaxation.

Geometry as POSCAR:
```
RuSe2F
1.0
0.000 3.055 3.055
3.055 0.000 3.055
3.055 3.055 0.000
Se F Ru
2 1 1
direct
0.750 0.750 0.750 Se
0.250 0.250 0.250 Se
0.000 0.000 0.000 F
0.500 0.500 0.500 Ru
```

Calculated values
crystal system	cubic
Fermi-level density of states	2.4	states/eV/f.u.
magnetization	0.0	μB per cell
total DFT energy (no corrections)	-19.4	eV for the cell shown
energy relative to the elements, uncorrected	-0.3210	eV per atom

***

[5]
Density functional theory data (PBE) for RuSe2F after structural relaxation.

Geometry as POSCAR:
```
RuSe2F
1.0
-0.270 3.717 8.214
1.793 5.333 7.050
-0.963 6.018 6.650
Se F Ru
2 1 1
direct
0.910 0.910 0.910 Se
0.090 0.090 0.090 Se
0.500 0.500 0.500 F
0.000 0.000 0.000 Ru
```

Calculated values
crystal system	trigonal
Fermi-level density of states	3.0	states/eV/f.u.
magnetization	0.0	μB per cell
total DFT energy (no corrections)	-17.8	eV for the cell shown
energy relative to the elements, uncorrected	0.0909	eV per atom

***

[6]
Density functional theory data (PBE) for RuSe2F after structural relaxation.

Geometry as POSCAR:
```
RuSe2F
1.0
-1.400 -0.401 6.761
-0.477 -3.968 5.644
2.298 -1.399 6.372
F Se Ru
1 2 1
direct
0.000 0.000 0.000 F
0.109 0.109 0.109 Se
0.891 0.891 0.891 Se
0.500 0.500 0.500 Ru
```

Calculated values
crystal system	trigonal
Fermi-level density of states	2.0	states/eV/f.u.
magnetization	0.0	μB per cell
total DFT energy (no corrections)	-20.1	eV for the cell shown
energy relative to the elements, uncorrected	-0.4878	eV per atom

***

[7]
Density functional theory data (PBE) for RuSeF3 after structural relaxation.

Geometry as POSCAR:
```
RuSeF3
1.0
4.425 0.000 0.000
0.000 4.425 0.000
0.000 0.000 4.425
Se F Ru
1 3 1
direct
0.000 0.000 0.000 Se
0.000 0.000 0.500 F
0.000 0.500 0.000 F
0.500 0.000 0.000 F
0.500 0.500 0.500 Ru
```

Calculated values
crystal system	cubic
Fermi-level density of states	3.2	states/eV/f.u.
magnetization	3.2	μB per cell
total DFT energy (no corrections)	-18.1	eV for the cell shown
energy relative to the elements, uncorrected	0.0469	eV per atom